Record 1
Computed, not measured: crystalline Sc3HPb at its relaxed geometry at the PBE level of DFT.

The structure belongs to space group Cmmm (No. 65); the cell edges are 9.104, 12.775 and 3.380 Å and the angles 90.00°, 90.00° and 90.00°. The inequivalent atoms are Sc at (0.000, 0.217, 0.000), Sc at (0.215, 0.368, 0.500), H at (0.250, 0.250, 0.000), Pb at (0.000, 0.000, 0.500) and Pb at (0.000, 0.500, 0.000).

Its total energy is -27.4 eV per formula unit.

---

Record 2
Computed, not measured: crystalline AcNd5Dy5 at its relaxed geometry at the PBE level of DFT.

The structure belongs to space group P-6m2 (No. 187); the cell edges are 6.2271, 6.2271 and 11.7845 Å and the angles 90.00°, 90.00° and 120.00°. The inequivalent atoms are Ac at (0.0000, 0.0000, 0.0000), Nd at (0.0000, 0.0000, 0.3296), Nd at (0.3333, 0.6667, 0.1599), Nd at (0.6667, 0.3333, 0.0000), Dy at (0.5004, 0.0009, 0.5000) and Dy at (0.6667, 0.3333, 0.2661).

The calculation puts the formation energy at 0.2737 eV/atom.

---

Record 3
Computed, not measured: crystalline KSrAs4 at its relaxed geometry at the PBE level of DFT.

The structure belongs to space group F-43m (No. 216); the cell edges are 8.354, 8.354 and 8.354 Å and the angles 90.00°, 90.00° and 90.00°. The inequivalent atoms are K at (0.000, 0.000, 0.000), Sr at (0.250, 0.250, 0.750) and As at (0.125, 0.125, 0.375).

The calculation puts the formation energy at -0.3525 eV/atom.

---

Record 4
Computed, not measured: crystalline Fe5CuRh6 at its relaxed geometry at the PBE level of DFT.

The structure belongs to space group Cmmm (No. 65); the cell edges are 4.265, 12.787 and 6.001 Å and the angles 90.00°, 90.00° and 90.00°. The inequivalent atoms are Fe at (0.000, 0.000, 0.000), Fe at (0.000, 0.333, 0.000), Fe at (0.000, 0.338, 0.500), Cu at (0.000, 0.000, 0.500), Rh at (0.000, 0.169, 0.250) and Rh at (0.000, 0.500, 0.246).

The calculation puts the formation energy at -0.0558 eV/atom.

---

Record 5
Computed, not measured: crystalline LiCeI3 at its relaxed geometry at the PBE level of DFT.

The structure belongs to space group P2_1/m (No. 11); the cell edges are 8.157, 4.394 and 10.922 Å and the angles 90.00°, 93.94° and 90.00°. The inequivalent atoms are Li at (0.105, 0.250, 0.397), Ce at (0.433, 0.250, 0.859), I at (0.095, 0.250, 0.657), I at (0.219, 0.750, 0.992) and I at (0.427, 0.250, 0.327).

The value obtained for the uncorrected formation energy is -27.6 kcal/mol of atoms.

---

Record 6
Computed, not measured: crystalline DyTmThMg at its relaxed geometry at the PBE level of DFT.

The structure belongs to space group P4mm (No. 99); the cell edges are 3.569, 3.569 and 9.188 Å and the angles 90.00°, 90.00° and 90.00°. The inequivalent atoms are Dy at (0.000, 0.000, 0.000), Tm at (0.000, 0.000, 0.521), Th at (0.500, 0.500, 0.262) and Mg at (0.500, 0.500, 0.757).

The calculation puts the formation energy at -0.0384 eV/atom.

---

Record 7
Computed, not measured: crystalline Y6SiO12 at its relaxed geometry at the PBE level of DFT.

The structure belongs to space group R-3 (No. 148, hexagonal axes); the cell edges are 9.7454, 9.7454 and 9.2474 Å and the angles 90.00°, 90.00° and 120.00°. The inequivalent atoms are Y at (0.0499, 0.2590, 0.1518), Si at (0.0000, 0.0000, 0.5000), O at (0.0363, 0.2262, 0.9032) and O at (0.0396, 0.1756, 0.3938).

The value obtained for the uncorrected formation energy is -72.1 kcal/mol of atoms.

---

Record 8
Computed, not measured: crystalline ZrCrRe2 at its relaxed geometry at the PBE level of DFT.

The structure belongs to space group F-43m (No. 216); the cell edges are 6.297, 6.297 and 6.297 Å and the angles 90.00°, 90.00° and 90.00°. The inequivalent atoms are Zr at (0.000, 0.000, 0.000), Cr at (0.250, 0.250, 0.250), Re at (0.000, 0.000, 0.500) and Re at (0.250, 0.250, 0.750).

The calculation puts the formation energy at -0.0204 eV/atom.

---

Record 9
Computed, not measured: crystalline Pr7Cu2Hg2 at its relaxed geometry at the PBE level of DFT.

The structure belongs to space group Cmmm (No. 65); the cell edges are 8.109, 11.503 and 7.388 Å and the angles 90.00°, 90.00° and 90.00°. The inequivalent atoms are Pr at (0.000, 0.000, 0.000), Pr at (0.000, 0.500, 0.245), Pr at (0.250, 0.250, 0.262), Cu at (0.000, 0.295, 0.000) and Hg at (0.176, 0.000, 0.500).

The calculation puts the formation energy at -0.0442 eV/atom.

---

Record 10
Computed, not measured: crystalline RuPt3Pb at its relaxed geometry at the PBE level of DFT.

The structure belongs to space group Pm-3m (No. 221); the cell edges are 4.858, 4.858 and 4.858 Å and the angles 90.00°, 90.00° and 90.00°. The inequivalent atoms are Ru at (0.000, 0.000, 0.000), Pt at (0.000, 0.000, 0.500) and Pb at (0.500, 0.500, 0.500).

The calculation puts the formation energy at 0.9044 eV/atom.

---

Record 11
Computed, not measured: crystalline Np2TiTl2S6 at its relaxed geometry at the PBE level of DFT.

The structure belongs to space group C2/m (No. 12); the cell edges are 6.681, 11.477 and 7.936 Å and the angles 90.00°, 106.61° and 90.00°. The inequivalent atoms are Np at (0.000, 0.166, 0.000), Ti at (0.000, 0.500, 0.000), Tl at (0.000, 0.330, 0.500), S at (0.221, 0.344, 0.189) and S at (0.244, 0.500, 0.809).

The value obtained for the uncorrected formation energy is -25.4 kcal/mol of atoms.

---

Record 12
Computed, not measured: crystalline LiZrPb2 at its relaxed geometry at the PBE level of DFT.

The structure belongs to space group P4mm (No. 99); the cell edges are 3.277, 3.277 and 9.331 Å and the angles 90.00°, 90.00° and 90.00°. The inequivalent atoms are Li at (0.000, 0.000, 0.000), Zr at (0.500, 0.500, 0.780), Pb at (0.000, 0.000, 0.538) and Pb at (0.500, 0.500, 0.195).

The calculation puts the formation energy at 0.0932 eV/atom.